This record from the Alexandria database describes a relaxed structure of Ba2LiSi3. The functional is PBE.

Cell: 12.3864 10.7052 8.7881 Å, 78.22 57.79 43.99°
Atoms (fractional coordinates):
Ba (0.1259, 0.1259, 0.3741)
Ba (0.8753, 0.8753, 0.6247)
Ba (0.3741, 0.3741, 0.1259)
Ba (0.8759, 0.8759, 0.1241)
Ba (0.6247, 0.6247, 0.8753)
Ba (0.3747, 0.3747, 0.6253)
Ba (0.6253, 0.6253, 0.3747)
Ba (0.1241, 0.1241, 0.8759)
Si (0.5958, 0.9117, 0.0616)
Si (0.0616, 0.4310, 0.5958)
Si (0.3422, 0.6578, 0.3422)
Si (0.1884, 0.8190, 0.6542)
Si (0.6542, 0.3383, 0.1884)
Si (0.3383, 0.6542, 0.8190)
Si (0.9078, 0.5922, 0.9078)
Si (0.9117, 0.5958, 0.4310)
Si (0.5922, 0.9078, 0.5922)
Si (0.6578, 0.3422, 0.6578)
Si (0.4310, 0.0616, 0.9117)
Si (0.8190, 0.1884, 0.3383)
Li (0.8324, 0.1676, 0.8324)
Li (0.0824, 0.4176, 0.0824)
Li (0.1676, 0.8324, 0.1676)
Li (0.4176, 0.0824, 0.4176)

Values from the calculation:
- Magnetization: 0.0 μB/cell
- SG: Fddd, No. 70
- Energy relative to the elements, uncorrected: -2.6 eV/f.u.

---

This record from the Alexandria database describes a relaxed structure of Er8Co3Cu2. The functional is PBE.

Cell: 4.6843 9.4612 8.2454 Å, 124.85 90.00 90.00°
Atoms (fractional coordinates):
Er (0.0000, 0.1200, 0.2392)
Er (0.0000, 0.8800, 0.7608)
Er (0.5000, 0.8715, 0.2371)
Er (0.0000, 0.3820, 0.7650)
Er (0.5000, 0.3660, 0.2364)
Er (0.0000, 0.6180, 0.2350)
Er (0.5000, 0.6340, 0.7636)
Er (0.5000, 0.1285, 0.7629)
Co (0.0000, 0.2471, 0.9998)
Co (0.5000, 0.0000, 0.0000)
Co (0.0000, 0.7529, 0.0002)
Cu (0.5000, 0.2524, 0.5047)
Cu (0.5000, 0.7476, 0.4953)

Values from the calculation:
- Magnetization: 0.0 μB/cell
- Formation energy from the elements: -0.10 eV/atom
- SG: P2/m, No. 10

---

This record from the Alexandria database describes a relaxed structure of InMoOs2. The functional is PBE.

Cell: 2.8107 2.8107 8.2264 Å, 90.00 90.00 90.00°
Atoms (fractional coordinates):
Os (0.5000, 0.5000, 0.2260)
Os (0.0000, 0.0000, 0.0160)
In (0.0000, 0.0000, 0.4906)
Mo (0.5000, 0.5000, 0.7674)

Values from the calculation:
- Magnetization: 0.0 μB/cell
- Formation energy from the elements: 0.31 eV/atom
- SG: P4mm, No. 99

---

This record from the Alexandria database describes a relaxed structure of KErPd4. The functional is PBE.

Cell: 5.4821 5.4821 5.4821 Å, 60.00 60.00 60.00°
Atoms (fractional coordinates):
Er (0.0000, 0.0000, 0.0000)
K (0.2500, 0.2500, 0.2500)
Pd (0.6255, 0.1236, 0.6255)
Pd (0.1236, 0.6255, 0.6255)
Pd (0.6255, 0.6255, 0.6255)
Pd (0.6255, 0.6255, 0.1236)

Values from the calculation:
- Magnetization: 0.0 μB/cell
- Formation energy from the elements: -0.40 eV/atom
- SG: F-43m, No. 216

---

This record from the Alexandria database describes a relaxed structure of Mg5Pt3. The functional is PBE.

Cell: 5.6352 5.6352 4.3431 Å, 90.00 90.00 101.11°
Atoms (fractional coordinates):
Pt (0.7770, 0.2230, 0.5000)
Pt (0.5000, 0.5000, 0.0000)
Pt (0.2230, 0.7770, 0.5000)
Mg (0.2823, 0.2823, 0.5000)
Mg (0.5000, 0.0000, 0.0000)
Mg (0.0000, 0.5000, 0.0000)
Mg (0.7177, 0.7177, 0.5000)
Mg (0.0000, 0.0000, 0.0000)

Values from the calculation:
- Magnetization: 0.0 μB/cell
- Formation energy from the elements: -0.70 eV/atom
- SG: Cmmm, No. 65

---

This record from the Alexandria database describes a relaxed structure of AlPdPb2S. The functional is PBE.

Cell: 5.6857 5.6857 4.5442 Å, 90.00 90.00 90.00°
Atoms (fractional coordinates):
Pd (0.5000, 0.5000, 0.5000)
Pb (0.5000, 0.0000, 0.0000)
Pb (0.0000, 0.5000, 0.0000)
S (0.0000, 0.0000, 0.0000)
Al (0.0000, 0.0000, 0.5000)

Values from the calculation:
- Magnetization: 0.0 μB/cell
- SG: P4/mmm, No. 123
- Energy relative to the elements, uncorrected: 1.8 eV/f.u.